This record from the Alexandria database describes BRuC2 after structural relaxation. The functional is PBE-GGA.

Lattice parameters (Å, degrees): 4.3065 4.3065 8.0078 90.00 90.00 90.00
Space group I-42d (No. 122)
Asymmetric unit:
B: 0.0000 0.0000 0.0000
Ru: 0.0000 0.0000 0.5000
C: 0.1890 0.2500 0.1250

## Properties
The calculation puts the magnetic moment at 0.000 μB/atom. Its formation energy from the elements is 2.834 eV per formula unit. Its density of states at the Fermi level is 6.23 states/eV per cell.

This record from the Alexandria database describes Li2Ni3 after structural relaxation. The functional is PBE-GGA.

Lattice parameters (Å, degrees): 2.4960 2.4960 10.4885 90.00 90.00 120.00
Space group P-3m1 (No. 164)
Asymmetric unit:
Li: 0.3333 0.6667 0.2982
Ni: 0.0000 0.0000 0.5000
Ni: 0.3333 0.6667 0.9038

## Properties
As for the offset from the most stable computed form: 0.000 eV per atom. The calculation puts the magnetic moment at 0.143 μB/atom. Its formation energy from the elements is -0.018 eV per formula unit. Its density of states at the Fermi level is 5.20 states/eV per cell.